# 1
VASP calculation (PBE with a Hubbard U) on a geometry-optimized Li4Mn5FeO12 structure.

Properties
Calculated total energy, eV per atom: -6.581
Total moment, μB/atom: 0.864
DOS at the Fermi energy, states/eV/cell: 5.17
Mass density, g cm⁻³: 3.8

Structure (POSCAR):
```
Li4Mn5FeO12
1.0
2.6410 -4.3512 0.0000
2.6410 4.3512 0.0000
-1.3851 0.0000 10.4063
Li Mn Fe O
4 5 1 12
direct
0.0788 0.4207 0.2193
0.4207 0.0788 0.2193
0.5793 0.9212 0.7807
0.9212 0.5793 0.7807
0.0000 0.0000 0.0000
0.1650 0.8350 0.5000
0.3359 0.6641 0.0000
0.6641 0.3359 0.0000
0.8350 0.1650 0.5000
0.5000 0.5000 0.5000
0.0763 0.7331 0.1093
0.1389 0.4755 0.4049
0.1892 0.1892 0.5915
0.2669 0.9237 0.8907
0.3703 0.3703 0.1039
0.4755 0.1389 0.4049
0.5245 0.8611 0.5951
0.6297 0.6297 0.8961
0.7331 0.0763 0.1093
0.8108 0.8108 0.4085
0.8611 0.5245 0.5951
0.9237 0.2669 0.8907
```

---

# 2
VASP calculation (PBE with a Hubbard U) on a geometry-optimized Li2MnFe2O6 structure.

Properties
Calculated total energy, eV per atom: -6.231
Total moment, μB/atom: 0.818
Mass density, g cm⁻³: 4.1

Structure (POSCAR):
```
Li2MnFe2O6
1.0
6.5830 0.0000 0.0000
0.8400 6.6359 0.0000
2.8882 2.3937 7.6024
Li Mn Fe O
6 3 6 18
direct
0.0001 0.1594 0.3327
0.9999 0.8406 0.6673
0.3253 0.1689 0.0030
0.3334 0.4910 0.6813
0.6666 0.5090 0.3187
0.6747 0.8311 0.9970
0.0000 0.5000 0.5000
0.3308 0.5018 0.1623
0.6692 0.4982 0.8377
0.0009 0.1718 0.8364
0.3342 0.8452 0.8304
0.3359 0.1679 0.4990
0.6641 0.8321 0.5010
0.6658 0.1548 0.1696
0.9991 0.8282 0.1636
0.0130 0.5110 0.2647
0.0148 0.8642 0.9023
0.0245 0.1929 0.5693
0.3105 0.1728 0.7514
0.3168 0.4879 0.4022
0.3169 0.8124 0.0722
0.3440 0.2011 0.2384
0.3505 0.8481 0.5969
0.3596 0.4987 0.9255
0.6404 0.5013 0.0745
0.6495 0.1519 0.4031
0.6560 0.7989 0.7616
0.6831 0.1876 0.9278
0.6832 0.5121 0.5978
0.6895 0.8272 0.2486
0.9755 0.8071 0.4307
0.9852 0.1358 0.0977
0.9870 0.4890 0.7353
```